No. 1
# CsPmFe2I8

A relaxed CsPmFe2I8 crystal (GGA-PBE, Alexandria).

Unit cell a=7.4992 b=7.4992 c=11.2133 alpha=95.87 beta=95.87 gamma=68.81
Last column: nearest neighbours and their distance in Å.
Sites, in units of the cell vectors:
Cs: 0.0000 0.0000 0.0000  6 I 3.99-4.07
Pm: 0.0000 0.0000 0.5000  6 I 3.10-3.13
Fe: 0.3830 0.3830 0.7099  4 I 2.55-2.68
Fe: 0.6170 0.6170 0.2901  4 I 2.55-2.68
I: 0.2358 0.7267 0.2958  1 Fe 2.68
I: 0.2512 0.2512 0.5070  1 Fe 2.63
I: 0.2733 0.7642 0.7042  1 Fe 2.68
I: 0.3098 0.3098 0.9130  1 Fe 2.55
I: 0.6902 0.6902 0.0870  1 Fe 2.55
I: 0.7267 0.2358 0.2958  1 Fe 2.68
I: 0.7488 0.7488 0.4930  1 Fe 2.63
I: 0.7642 0.2733 0.7042  1 Fe 2.68

Output
The calculation puts the total magnetization at 8.00 μB/f.u. The total energy comes out at -3.650 eV/atom.



No. 2
# CdGe2Cl

A relaxed CdGe2Cl crystal (GGA-PBE, Alexandria).

Unit cell a=12.1180 b=12.1180 c=12.1180 alpha=161.37 beta=161.37 gamma=26.46
Last column: nearest neighbours and their distance in Å.
Sites, in units of the cell vectors:
Cd: 0.0000 0.0000 0.0000  4 Cl 2.77
Cd: 0.7500 0.2500 0.5000  4 Cl 2.77
Ge: 0.0941 0.6250 0.9691  2 Ge 2.61
Ge: 0.3750 0.3441 0.4691  2 Ge 2.61
Ge: 0.6559 0.1250 0.0309  2 Ge 2.61
Ge: 0.8750 0.9059 0.5309  2 Ge 2.61
Cl: 0.2500 0.7500 0.5000  4 Cd 2.77
Cl: 0.5000 0.5000 0.0000  4 Cd 2.77

Output
The calculation puts the total magnetization at 0.00 μB/f.u. The total energy comes out at -2.942 eV/atom.



No. 3
# Li2PmThSe4

A relaxed Li2PmThSe4 crystal (GGA-PBE, Alexandria).

Unit cell a=6.9996 b=4.1312 c=7.1558 alpha=90.00 beta=109.79 gamma=90.00
Last column: nearest neighbours and their distance in Å.
Sites, in units of the cell vectors:
Li: 0.0000 0.0000 0.0000  6 Se 2.83-2.84
Li: 0.0000 0.5000 0.5000  6 Se 2.84-2.86
Pm: 0.5000 0.0000 0.5000  6 Se 2.96-2.97
Th: 0.5000 0.5000 0.0000  6 Se 2.94-2.96
Se: 0.2335 0.0000 0.7458  3 Li 2.83-2.84, 2 Th 2.96, 1 Pm 2.97
Se: 0.2362 0.5000 0.2434  3 Li 2.84-2.86, 1 Th 2.94, 2 Pm 2.96
Se: 0.7638 0.5000 0.7566  3 Li 2.84-2.86, 1 Th 2.94, 2 Pm 2.96
Se: 0.7665 0.0000 0.2542  3 Li 2.83-2.84, 2 Th 2.96, 1 Pm 2.97

Output
The calculation puts the total magnetization at 0.00 μB/f.u. The total energy comes out at -5.316 eV/atom.



No. 4
# Al11Ga

A relaxed Al11Ga crystal (GGA-PBE, Alexandria).

Unit cell a=9.2463 b=9.2463 c=2.7824 alpha=90.00 beta=90.00 gamma=120.00
Last column: nearest neighbours and their distance in Å.
Sites, in units of the cell vectors:
Al: 0.0000 0.5000 0.0000  12 Al 2.67-2.95
Al: 0.1754 0.3508 0.5000  10 Al 2.78-2.95
Al: 0.1754 0.8246 0.5000  10 Al 2.78-2.95
Al: 0.3333 0.6667 0.0000  11 Al 2.67-2.89
Al: 0.3508 0.1754 0.5000  10 Al 2.78-2.95
Al: 0.5000 0.0000 0.0000  12 Al 2.67-2.95
Al: 0.5000 0.5000 0.0000  12 Al 2.67-2.95
Al: 0.6492 0.8246 0.5000  10 Al 2.78-2.95
Al: 0.6667 0.3333 0.0000  11 Al 2.67-2.89
Al: 0.8246 0.1754 0.5000  10 Al 2.78-2.95
Al: 0.8246 0.6492 0.5000  10 Al 2.78-2.95
Ga: 0.0000 0.0000 0.0000  2 Ga 2.78

Output
The formation energy from the elements comes out at 77 meV per atom. The calculation puts the total magnetization at 0.00 μB/f.u. The total energy comes out at -3.606 eV/atom.



Looking at density of states at the Fermi level for the records above, in order, we have 1.062, 0.361, 0.425, 0.559 states/eV/atom.